# Dy4MgIn2

A relaxed Dy4MgIn2 crystal (PBE, Alexandria via LeMat-Bulk).

For the distance to the lowest polymorph of the same formula, the calculation gives 0.000 eV/atom. Its formation energy is -242 meV/atom. Its calculated total energy is -3.882 eV/atom. Its crystal system is trigonal.

It has space group R-3m (No. 166, hexagonal axes), with a = 5.2540 Å, b = 5.2540 Å, c = 25.2570 Å, α = 90.00°, β = 90.00° and γ = 120.00°. The inequivalent atoms are Dy at (0.0000, 0.0000, 0.1158), Dy at (0.0000, 0.0000, 0.3694), Mg at (0.0000, 0.0000, 0.5000) and In at (0.0000, 0.0000, 0.2447).

# SrSi2Os

A relaxed SrSi2Os crystal (PBE, Alexandria via LeMat-Bulk).

Its calculated total energy is -5.306 eV/atom. The uncorrected formation energy comes out at 633 meV per atom. Its crystal system is monoclinic.

It has space group C2/m (No. 12), with a = 6.058 Å, b = 7.636 Å, c = 3.264 Å, α = 90.00°, β = 105.32° and γ = 90.00°. The inequivalent atoms are Sr at (0.000, 0.000, 0.000), Si at (0.250, 0.250, 0.500) and Os at (0.000, 0.500, 0.000).